1.
A relaxed BaLiPdPb crystal, computed with PBE.

```
data_BaLiPdPb
_symmetry_space_group_name_H-M 'F -4 3 m'
_symmetry_Int_Tables_number 216
_symmetry_space_group_name_Hall 'F -4 2 3'
_cell_length_a 7.425
_cell_length_b 7.425
_cell_length_c 7.425
_cell_angle_alpha 90.00
_cell_angle_beta 90.00
_cell_angle_gamma 90.00
loop_
_atom_site_label
_atom_site_type_symbol
_atom_site_fract_x
_atom_site_fract_y
_atom_site_fract_z
Ba1 Ba 0.000 0.000 0.000
Li1 Li 0.250 0.250 0.750
Pd1 Pd 0.250 0.250 0.250
Pb1 Pb 0.000 0.000 0.500
```

- crystal system = cubic
- ΔE to the lowest computed polymorph (meV per atom) = 155.9
- E_form (meV per atom) = -320


2.
A relaxed BaLiPmPb crystal, computed with PBE.

```
data_BaLiPmPb
_symmetry_space_group_name_H-M 'F -4 3 m'
_symmetry_Int_Tables_number 216
_symmetry_space_group_name_Hall 'F -4 2 3'
_cell_length_a 8.120
_cell_length_b 8.120
_cell_length_c 8.120
_cell_angle_alpha 90.00
_cell_angle_beta 90.00
_cell_angle_gamma 90.00
loop_
_atom_site_label
_atom_site_type_symbol
_atom_site_fract_x
_atom_site_fract_y
_atom_site_fract_z
Ba1 Ba 0.000 0.000 0.000
Li1 Li 0.250 0.250 0.250
Pm1 Pm 0.000 0.000 0.500
Pb1 Pb 0.250 0.250 0.750
```

- crystal system = cubic
- E_form (meV per atom) = -239


3.
A relaxed BaLiPtPb2 crystal, computed with PBE.

```
data_BaLiPtPb2
_symmetry_space_group_name_H-M 'P 4/m m m'
_symmetry_Int_Tables_number 123
_symmetry_space_group_name_Hall '-P 4 2'
_cell_length_a 5.469
_cell_length_b 5.469
_cell_length_c 5.079
_cell_angle_alpha 90.00
_cell_angle_beta 90.00
_cell_angle_gamma 90.00
loop_
_atom_site_label
_atom_site_type_symbol
_atom_site_fract_x
_atom_site_fract_y
_atom_site_fract_z
Ba1 Ba 0.000 0.000 0.000
Li1 Li 0.500 0.500 0.000
Pt1 Pt 0.500 0.500 0.500
Pb1 Pb 0.000 0.500 0.500
```

- crystal system = tetragonal
- E_form (meV per atom) = -311